Material: La2AlGa6Tc
Method: DFT, PBE-GGA
State: optimized geometry

a b c (Å): 6.805 7.282 8.829
angles (deg): 90.00 90.00 90.00
Sites, in units of the cell vectors:
1 Al 0.000 0.583 0.500
2 Al 0.500 0.417 0.000
3 La 0.000 0.241 0.750
4 La 0.500 0.759 0.250
5 La 0.000 0.241 0.250
6 La 0.500 0.759 0.750
7 Ga 0.000 0.767 0.743
8 Ga 0.319 0.416 0.500
9 Ga 0.181 0.584 0.000
10 Ga 0.187 0.938 0.500
11 Ga 0.681 0.416 0.500
12 Ga 0.813 0.938 0.500
13 Ga 0.000 0.767 0.257
14 Ga 0.500 0.233 0.243
15 Ga 0.819 0.584 0.000
16 Ga 0.687 0.062 0.000
17 Ga 0.313 0.062 0.000
18 Ga 0.500 0.233 0.757
19 Tc 0.500 0.097 0.500
20 Tc 0.000 0.903 0.000

Computed properties:
Volume   438 Å³/cell
Total energy   -4.56 eV per atom



Material: KLaCdI6
Method: DFT, PBE-GGA
State: optimized geometry

a b c (Å): 7.992 7.992 15.641
angles (deg): 90.00 90.00 120.00
Sites, in units of the cell vectors:
1 I 0.359 0.373 0.865
2 I 0.359 0.987 0.635
3 I 0.013 0.373 0.635
4 I 0.641 0.627 0.135
5 I 0.627 0.987 0.865
6 I 0.987 0.359 0.135
7 I 0.373 0.359 0.365
8 I 0.627 0.641 0.635
9 I 0.987 0.627 0.365
10 I 0.373 0.013 0.135
11 I 0.641 0.013 0.365
12 I 0.013 0.641 0.865
13 K 0.000 0.000 0.000
14 K 0.000 0.000 0.500
15 Cd 0.333 0.667 0.750
16 Cd 0.667 0.333 0.250
17 La 0.667 0.333 0.750
18 La 0.333 0.667 0.250

Computed properties:
ΔE_f (raw)   -1177 meV/atom
Volume   865 Å³/cell



Material: Rb3PmBr6
Method: DFT, PBE-GGA
State: optimized geometry

a b c (Å): 9.725 9.725 9.725
angles (deg): 91.77 91.77 91.77
Sites, in units of the cell vectors:
1 Br 0.548 0.215 0.428
2 Br 0.428 0.548 0.215
3 Br 0.074 0.938 0.282
4 Br 0.452 0.785 0.572
5 Br 0.062 0.718 0.926
6 Br 0.215 0.428 0.548
7 Br 0.282 0.074 0.938
8 Br 0.718 0.926 0.062
9 Br 0.785 0.572 0.452
10 Br 0.938 0.282 0.074
11 Br 0.926 0.062 0.718
12 Br 0.572 0.452 0.785
13 Rb 0.573 0.253 0.075
14 Rb 0.253 0.075 0.573
15 Rb 0.747 0.925 0.427
16 Rb 0.925 0.427 0.747
17 Rb 0.427 0.747 0.925
18 Rb 0.075 0.573 0.253
19 Pm 0.000 0.000 0.000
20 Pm 0.500 0.500 0.500

Computed properties:
ΔE_f (raw)   -1840 meV/atom
Volume   918 Å³/cell



Question: The highest volume belongs to which entry?
Answer: Rb3PmBr6